Entry 1:
DFT (PBE) results for a relaxed Ac4SbO10 crystal.

Output
Volume   483.94 Å³/cell
N(E_F)   24.67 states/eV/cell
Formation energy without anion corrections   -2375 meV per atom
E   -7.051 eV/atom

a b c (Å): 9.0918 9.0918 5.8545
angles (deg): 90.00 90.00 90.00
With the nearest neighbours (Å) after each atom.
Space group I4/m (No. 87)
Inequivalent atoms, fractional coordinates:
Ac 0.0995 0.3015 0.0000 x8  8 O 2.49-2.67
Sb 0.0000 0.0000 0.5000 x2  8 O 2.19
O 0.0000 0.5000 0.2500 x4  4 Ac 2.49
O 0.0919 0.8259 0.2838 x16  1 Sb 2.19

---

Entry 2:
DFT (PBE) results for a relaxed Y2IrBr crystal.

Output
Volume   364.87 Å³/cell
Energy relative to the lowest polymorph listed for this composition   1.90 eV per formula unit
N(E_F)   22.55 states/eV/cell
Formation energy without anion corrections   -611 meV per atom
E   -6.476 eV/atom

a b c (Å): 7.1457 7.1457 7.1457
angles (deg): 90.00 90.00 90.00
With the nearest neighbours (Å) after each atom.
Space group Fm-3m (No. 225)
Inequivalent atoms, fractional coordinates:
Y 0.2500 0.2500 0.2500 x8  4 Br 3.09, 4 Ir 3.09
Ir 0.0000 0.0000 0.0000 x4  8 Y 3.09
Br 0.0000 0.0000 0.5000 x4  8 Y 3.09

---

Entry 3:
DFT (PBE) results for a relaxed ScNbAg2Pt crystal.

Output
Volume   123.02 Å³/cell
N(E_F)   5.04 states/eV/cell
E   -4.859 eV/atom
Energy of formation from the pure elements   0.770 eV per atom

a b c (Å): 5.0988 5.0988 4.7318
angles (deg): 90.00 90.00 90.00
With the nearest neighbours (Å) after each atom.
Space group P4/mmm (No. 123)
Inequivalent atoms, fractional coordinates:
Sc 0.0000 0.0000 0.0000 x1  2 Pt 2.37
Nb 0.5000 0.5000 0.0000 x1  8 Ag 3.48, 4 Sc 3.61
Ag 0.0000 0.5000 0.5000 x2  2 Pt 2.55
Pt 0.0000 0.0000 0.5000 x1  2 Sc 2.37, 4 Ag 2.55

---

Entry 4:
DFT (PBE) results for a relaxed TaNb3Ir4 crystal.

Output
Volume   258.69 Å³/cell
N(E_F)   14.58 states/eV/cell
E   -10.217 eV/atom
Energy of formation from the pure elements   -0.529 eV per atom

a b c (Å): 9.2262 5.7364 4.8880
angles (deg): 90.00 90.00 90.00
With the nearest neighbours (Å) after each atom.
Space group Pmma (No. 51)
Inequivalent atoms, fractional coordinates:
Ta 0.0000 0.0000 0.0000 x2  8 Ir 2.79-2.83, 4 Nb 2.87-2.93
Nb 0.0000 0.5000 0.0000 x2  8 Ir 2.80-2.84, 2 Ta 2.87, 2 Nb 2.93
Nb 0.2500 0.0000 0.3699 x2  8 Ir 2.79-2.85, 2 Nb 2.87, 2 Ta 2.93
Nb 0.2500 0.5000 0.3700 x2  8 Ir 2.79-2.86, 4 Nb 2.87-2.93
Ir 0.0000 0.2493 0.5000 x4  6 Nb 2.79-2.84, 2 Ta 2.83, 4 Ir 2.86-2.91
Ir 0.2500 0.2490 0.8643 x4  2 Ta 2.79, 6 Nb 2.80-2.86, 4 Ir 2.86-2.91

---

Entry 5:
DFT (PBE) results for a relaxed AlTl2Cu3Se4 crystal.

Output
Volume   243.91 Å³/cell
N(E_F)   2.64 states/eV/cell
Formation energy without anion corrections   -363 meV per atom
E   -3.833 eV/atom

a b c (Å): 3.9681 3.9681 15.4905
angles (deg): 90.00 90.00 90.00
With the nearest neighbours (Å) after each atom.
Space group P-4m2 (No. 115)
Inequivalent atoms, fractional coordinates:
Al 0.0000 0.0000 0.0000 x1  4 Se 2.50
Tl 0.0000 0.5000 0.6978 x2  4 Se 3.18
Cu 0.0000 0.0000 0.5000 x1  4 Se 2.53, 4 Cu 2.81
Cu 0.5000 0.5000 0.0000 x1  4 Se 2.50
Cu 0.5000 0.5000 0.5000 x1  4 Se 2.53, 4 Cu 2.81
Se 0.0000 0.5000 0.0982 x2  2 Al 2.50, 2 Cu 2.50
Se 0.0000 0.5000 0.3988 x2  4 Cu 2.53

---

Entry 6:
DFT (PBE) results for a relaxed Th3Te2Ir crystal.

Output
Volume   739.80 Å³/cell
N(E_F)   12.64 states/eV/cell
Formation energy without anion corrections   -1128 meV per atom
E   -7.362 eV/atom

a b c (Å): 7.5888 13.0983 7.8625
angles (deg): 90.00 108.81 90.00
With the nearest neighbours (Å) after each atom.
Space group C2/m (No. 12)
Inequivalent atoms, fractional coordinates:
Th 0.2039 0.0000 0.2083 x4  2 Ir 2.88, 2 Te 3.15-3.18
Th 0.2448 0.1836 0.7878 x8  2 Ir 2.87-2.88, 1 Te 3.20
Te 0.0000 0.0000 0.5000 x2  6 Th 3.15-3.41
Te 0.0000 0.3464 0.5000 x4  6 Th 3.23-3.44
Te 0.0000 0.5000 0.0000 x2  6 Th 3.18-3.20
Ir 0.0000 0.1678 0.0000 x4  6 Th 2.87-2.88